Entry 1:
Computed, not measured: a relaxed structure of ReB3I at the GGA-PBE level of DFT.

Calculated values
**Energy above the most stable polymorph in this dataset**: 0.000 eV per atom
**Calculated total energy**: -5.2812 eV per atom
**V**: 80.1 Å³ per cell
**Uncorrected formation energy**: 7.6 eV/f.u.
**Magnetization**: 0.00 μB per cell

Cell: 4.3103 4.3103 4.3103 Å, 90.00 90.00 90.00°
With the nearest neighbours (Å) after each atom.
Positions (direct):
1 Re 0.0000 0.0000 0.0000  6 B 2.16
2 B 0.0000 0.0000 0.5000  2 Re 2.16
3 B 0.0000 0.5000 0.0000  2 Re 2.16
4 B 0.5000 0.0000 0.0000  2 Re 2.16
5 I 0.5000 0.5000 0.5000  12 B 3.05


Entry 2:
Computed, not measured: a relaxed structure of Re2BI at the GGA-PBE level of DFT.

Calculated values
**Energy above the most stable polymorph in this dataset**: 0.000 eV per atom
**Calculated total energy**: -7.2445 eV per atom
**V**: 294.1 Å³ per cell
**Uncorrected formation energy**: 4.1 eV/f.u.
**Magnetization**: 0.00 μB per cell

Cell: 4.6369 4.6369 13.6805 Å, 90.00 90.00 90.00°
With the nearest neighbours (Å) after each atom.
Positions (direct):
1 Re 0.1273 0.2500 0.1250  2 B 2.15
2 Re 0.2500 0.6273 0.3750  2 B 2.15
3 Re 0.2500 0.8727 0.8750  2 B 2.15
4 Re 0.3727 0.2500 0.6250  2 B 2.15
5 Re 0.6273 0.7500 0.6250  2 B 2.15
6 Re 0.7500 0.1273 0.8750  2 B 2.15
7 Re 0.7500 0.3727 0.3750  2 B 2.15
8 Re 0.8727 0.7500 0.1250  2 B 2.15
9 B 0.0000 0.0000 0.0000  4 Re 2.15
10 B 0.0000 0.5000 0.2500  4 Re 2.15
11 B 0.5000 0.0000 0.7500  4 Re 2.15
12 B 0.5000 0.5000 0.5000  4 Re 2.15
13 I 0.0000 0.0000 0.5000  4 Re 2.69
14 I 0.0000 0.5000 0.7500  4 Re 2.69
15 I 0.5000 0.0000 0.2500  4 Re 2.69
16 I 0.5000 0.5000 0.0000  4 Re 2.69


Entry 3:
Computed, not measured: a relaxed structure of Re2BI at the GGA-PBE level of DFT.

Calculated values
**Energy above the most stable polymorph in this dataset**: 0.424 eV per atom
**Calculated total energy**: -6.8208 eV per atom
**V**: 231.5 Å³ per cell
**Uncorrected formation energy**: 5.8 eV/f.u.
**Magnetization**: 0.00 μB per cell

Cell: 6.1403 6.1403 6.1403 Å, 90.00 90.00 90.00°
With the nearest neighbours (Å) after each atom.
Positions (direct):
1 Re 0.2500 0.2500 0.2500  4 I 2.66, 4 B 2.66
2 Re 0.2500 0.2500 0.7500  4 B 2.66, 4 I 2.66
3 Re 0.2500 0.7500 0.2500  4 B 2.66, 4 I 2.66
4 Re 0.2500 0.7500 0.7500  4 B 2.66, 4 I 2.66
5 Re 0.7500 0.2500 0.2500  4 B 2.66, 4 I 2.66
6 Re 0.7500 0.2500 0.7500  4 B 2.66, 4 I 2.66
7 Re 0.7500 0.7500 0.2500  4 B 2.66, 4 I 2.66
8 Re 0.7500 0.7500 0.7500  4 B 2.66, 4 I 2.66
9 B 0.0000 0.0000 0.0000  8 Re 2.66
10 B 0.0000 0.5000 0.5000  8 Re 2.66
11 B 0.5000 0.0000 0.5000  8 Re 2.66
12 B 0.5000 0.5000 0.0000  8 Re 2.66
13 I 0.0000 0.0000 0.5000  8 Re 2.66
14 I 0.0000 0.5000 0.0000  8 Re 2.66
15 I 0.5000 0.0000 0.0000  8 Re 2.66
16 I 0.5000 0.5000 0.5000  8 Re 2.66


Entry 4:
Computed, not measured: a relaxed structure of Re3BI at the GGA-PBE level of DFT.

Calculated values
**Energy above the most stable polymorph in this dataset**: 0.000 eV per atom
**Calculated total energy**: -7.9674 eV per atom
**V**: 77.5 Å³ per cell
**Uncorrected formation energy**: 5.7 eV/f.u.
**Magnetization**: 0.00 μB per cell

Cell: 4.2629 4.2629 4.2629 Å, 90.00 90.00 90.00°
With the nearest neighbours (Å) after each atom.
Positions (direct):
1 Re 0.0000 0.0000 0.5000  2 B 2.13
2 Re 0.0000 0.5000 0.0000  2 B 2.13
3 Re 0.5000 0.0000 0.0000  2 B 2.13
4 B 0.0000 0.0000 0.0000  6 Re 2.13
5 I 0.5000 0.5000 0.5000  12 Re 3.01


Entry 5:
Computed, not measured: a relaxed structure of ReB3I at the GGA-PBE level of DFT.

Calculated values
**Energy above the most stable polymorph in this dataset**: 1.767 eV per atom
**Calculated total energy**: -3.5140 eV per atom
**V**: 76.9 Å³ per cell
**Uncorrected formation energy**: 16.5 eV/f.u.
**Magnetization**: 0.00 μB per cell

Cell: 4.2530 4.2530 4.2530 Å, 90.00 90.00 90.00°
With the nearest neighbours (Å) after each atom.
Positions (direct):
1 Re 0.0000 0.0000 0.0000  12 B 3.01
2 B 0.0000 0.5000 0.5000  2 I 2.13
3 B 0.5000 0.0000 0.5000  2 I 2.13
4 B 0.5000 0.5000 0.0000  2 I 2.13
5 I 0.5000 0.5000 0.5000  6 B 2.13


Entry 6:
Computed, not measured: a relaxed structure of ReB2I at the GGA-PBE level of DFT.

Calculated values
**Energy above the most stable polymorph in this dataset**: 0.882 eV per atom
**Calculated total energy**: -4.8422 eV per atom
**V**: 205.8 Å³ per cell
**Uncorrected formation energy**: 8.0 eV/f.u.
**Magnetization**: 0.00 μB per cell

Cell: 5.9037 5.9037 5.9037 Å, 90.00 90.00 90.00°
With the nearest neighbours (Å) after each atom.
Positions (direct):
1 Re 0.0000 0.0000 0.0000  8 B 2.56
2 Re 0.0000 0.5000 0.5000  8 B 2.56
3 Re 0.5000 0.0000 0.5000  8 B 2.56
4 Re 0.5000 0.5000 0.0000  8 B 2.56
5 B 0.2500 0.2500 0.2500  4 Re 2.56, 4 I 2.56
6 B 0.2500 0.2500 0.7500  4 Re 2.56, 4 I 2.56
7 B 0.2500 0.7500 0.2500  4 Re 2.56, 4 I 2.56
8 B 0.2500 0.7500 0.7500  4 Re 2.56, 4 I 2.56
9 B 0.7500 0.2500 0.2500  4 Re 2.56, 4 I 2.56
10 B 0.7500 0.2500 0.7500  4 Re 2.56, 4 I 2.56
11 B 0.7500 0.7500 0.2500  4 Re 2.56, 4 I 2.56
12 B 0.7500 0.7500 0.7500  4 Re 2.56, 4 I 2.56
13 I 0.0000 0.0000 0.5000  8 B 2.56
14 I 0.0000 0.5000 0.0000  8 B 2.56
15 I 0.5000 0.0000 0.0000  8 B 2.56
16 I 0.5000 0.5000 0.5000  8 B 2.56


Entry 7:
Computed, not measured: a relaxed structure of ReB2I at the GGA-PBE level of DFT.

Calculated values
**Energy above the most stable polymorph in this dataset**: 0.000 eV per atom
**Calculated total energy**: -5.7245 eV per atom
**V**: 306.8 Å³ per cell
**Uncorrected formation energy**: 4.5 eV/f.u.
**Magnetization**: 0.00 μB per cell

Cell: 5.5171 5.5171 10.0807 Å, 90.00 90.00 90.00°
With the nearest neighbours (Å) after each atom.
Positions (direct):
1 Re 0.0000 0.0000 0.0000  4 B 2.04
2 Re 0.0000 0.5000 0.2500  4 B 2.04
3 Re 0.5000 0.0000 0.7500  4 B 2.04
4 Re 0.5000 0.5000 0.5000  4 B 2.04
5 B 0.1495 0.2500 0.1250  2 Re 2.04
6 B 0.2500 0.6495 0.3750  2 Re 2.04
7 B 0.2500 0.8505 0.8750  2 Re 2.04
8 B 0.3505 0.2500 0.6250  2 Re 2.04
9 B 0.6495 0.7500 0.6250  2 Re 2.04
10 B 0.7500 0.1495 0.8750  2 Re 2.04
11 B 0.7500 0.3505 0.3750  2 Re 2.04
12 B 0.8505 0.7500 0.1250  2 Re 2.04
13 I 0.0000 0.0000 0.5000  4 B 2.69
14 I 0.0000 0.5000 0.7500  4 B 2.69
15 I 0.5000 0.0000 0.2500  4 B 2.69
16 I 0.5000 0.5000 0.0000  4 B 2.69


Entry 8:
Computed, not measured: a relaxed structure of ReBI3 at the GGA-PBE level of DFT.

Calculated values
**Energy above the most stable polymorph in this dataset**: 0.000 eV per atom
**Calculated total energy**: -3.1952 eV per atom
**V**: 167.1 Å³ per cell
**Uncorrected formation energy**: 7.8 eV/f.u.
**Magnetization**: 3.28 μB per cell

Cell: 5.5081 5.5081 5.5081 Å, 90.00 90.00 90.00°
With the nearest neighbours (Å) after each atom.
Positions (direct):
1 Re 0.0000 0.0000 0.0000  6 I 2.75
2 B 0.5000 0.5000 0.5000  12 I 3.89
3 I 0.0000 0.0000 0.5000  2 Re 2.75
4 I 0.0000 0.5000 0.0000  2 Re 2.75
5 I 0.5000 0.0000 0.0000  2 Re 2.75


Entry 9:
Computed, not measured: a relaxed structure of ReBI3 at the GGA-PBE level of DFT.

Calculated values
**Energy above the most stable polymorph in this dataset**: 0.390 eV per atom
**Calculated total energy**: -2.8057 eV per atom
**V**: 113.2 Å³ per cell
**Uncorrected formation energy**: 9.7 eV/f.u.
**Magnetization**: 0.00 μB per cell

Cell: 4.8381 4.8381 4.8381 Å, 90.00 90.00 90.00°
With the nearest neighbours (Å) after each atom.
Positions (direct):
1 Re 0.0000 0.0000 0.0000  12 I 3.42
2 B 0.5000 0.5000 0.5000  6 I 2.42
3 I 0.0000 0.5000 0.5000  2 B 2.42
4 I 0.5000 0.0000 0.5000  2 B 2.42
5 I 0.5000 0.5000 0.0000  2 B 2.42


Entry 10:
Computed, not measured: a relaxed structure of Re3BI at the GGA-PBE level of DFT.

Calculated values
**Energy above the most stable polymorph in this dataset**: 2.662 eV per atom
**Calculated total energy**: -5.3058 eV per atom
**V**: 113.5 Å³ per cell
**Uncorrected formation energy**: 19.0 eV/f.u.
**Magnetization**: 2.93 μB per cell

Cell: 4.8417 4.8417 4.8417 Å, 90.00 90.00 90.00°
With the nearest neighbours (Å) after each atom.
Positions (direct):
1 Re 0.0000 0.0000 0.5000  2 I 2.42
2 Re 0.0000 0.5000 0.0000  2 I 2.42
3 Re 0.5000 0.0000 0.0000  2 I 2.42
4 B 0.5000 0.5000 0.5000  12 Re 3.42
5 I 0.0000 0.0000 0.0000  6 Re 2.42


Entry 11:
Computed, not measured: a relaxed structure of ReBS2I at the GGA-PBE level of DFT.

Calculated values
**Calculated total energy**: -4.3138 eV per atom
**V**: 79.7 Å³ per cell
**Uncorrected formation energy**: 7.4 eV/f.u.
**Magnetization**: 0.00 μB per cell

Cell: 4.1595 4.1595 4.6041 Å, 90.00 90.00 90.00°
With the nearest neighbours (Å) after each atom.
Positions (direct):
1 Re 0.0000 0.0000 0.0000  4 I 2.94, 8 S 3.10
2 B 0.5000 0.5000 0.5000  4 S 2.08, 2 I 2.30
3 S 0.0000 0.5000 0.5000  2 B 2.08
4 S 0.5000 0.0000 0.5000  2 B 2.08
5 I 0.5000 0.5000 0.0000  2 B 2.30


Entry 12:
Computed, not measured: a relaxed structure of ReBTeI2 at the GGA-PBE level of DFT.

Calculated values
**Energy above the most stable polymorph in this dataset**: 0.000 eV per atom
**Calculated total energy**: -3.5280 eV per atom
**V**: 161.4 Å³ per cell
**Uncorrected formation energy**: 7.7 eV/f.u.
**Magnetization**: 0.94 μB per cell

Cell: 5.6517 5.6517 5.0525 Å, 90.00 90.00 90.00°
With the nearest neighbours (Å) after each atom.
Positions (direct):
1 Re 0.0000 0.0000 0.0000  2 Te 2.53, 4 I 2.83
2 B 0.5000 0.5000 0.5000  8 I 3.79, 4 Te 4.00
3 Te 0.0000 0.0000 0.5000  2 Re 2.53
4 I 0.0000 0.5000 0.0000  2 Re 2.83
5 I 0.5000 0.0000 0.0000  2 Re 2.83